1.
The following is a PBE calculation of an optimized crystal structure of Rb3Pa2O8, from Alexandria.

The value obtained for the density is 5.101 g/cm3. Its electronic total energy is -6.829 eV per atom. Its magnetic moment is 0.0 μB/f.u.

The structure belongs to space group R-3m (No. 166, hexagonal axes); the cell edges are 6.1347, 6.1347 and 25.3637 Å and the angles 90.00°, 90.00° and 120.00°. Symmetry generates all atoms from Rb at (0.0000, 0.0000, 0.0000), Rb at (0.0000, 0.0000, 0.1926), Pa at (0.0000, 0.0000, 0.3933), O at (0.0000, 0.0000, 0.3142) and O at (0.0177, 0.5089, 0.2326).

---

2.
The following is a PBE calculation of an optimized crystal structure of RbPa2O7, from Alexandria.

The value obtained for the density is 6.496 g/cm3. Its electronic total energy is -8.007 eV per atom. Its magnetic moment is 0.1 μB/f.u.

The structure belongs to space group Cmmm (No. 65); the cell edges are 6.914, 11.385 and 4.283 Å and the angles 90.00°, 90.00° and 90.00°. Symmetry generates all atoms from Rb at (0.000, 0.000, 0.000), Pa at (0.000, 0.310, 0.500), O at (0.000, 0.307, 0.000), O at (0.000, 0.500, 0.500) and O at (0.183, 0.152, 0.500).

---

3.
The following is a PBE calculation of an optimized crystal structure of RbPaO4, from Alexandria.

The value obtained for the density is 5.467 g/cm3. Its electronic total energy is -7.512 eV per atom. Its magnetic moment is 0.0 μB/f.u.

The structure belongs to space group P-1 (No. 2); the cell edges are 6.022, 6.144 and 7.288 Å and the angles 109.45°, 90.03° and 113.12°. Symmetry generates all atoms from Rb at (0.202, 0.232, 0.411), Pa at (0.312, 0.654, 0.987), O at (0.020, 0.704, 0.140), O at (0.207, 0.707, 0.710), O at (0.436, 0.932, 0.801) and O at (0.458, 0.508, 0.174).

---

4.
The following is a PBE calculation of an optimized crystal structure of Rb3Pa2O7, from Alexandria.

The value obtained for the density is 5.863 g/cm3. Its electronic total energy is -7.430 eV per atom. Its magnetic moment is 0.0 μB/f.u.

The structure belongs to space group Cmmm (No. 65); the cell edges are 4.439, 24.032 and 4.410 Å and the angles 90.00°, 90.00° and 90.00°. Symmetry generates all atoms from Rb at (0.000, 0.000, 0.000), Rb at (0.000, 0.183, 0.000), Pa at (0.000, 0.408, 0.500), O at (0.000, 0.091, 0.500), O at (0.000, 0.325, 0.500), O at (0.000, 0.409, 0.000) and O at (0.000, 0.500, 0.500).

---

5.
The following is a PBE calculation of an optimized crystal structure of Rb2PaO5, from Alexandria.

The value obtained for the density is 4.316 g/cm3. Its electronic total energy is -6.453 eV per atom. Its magnetic moment is 1.3 μB/f.u.

The structure belongs to space group P4/mmm (No. 123); the cell edges are 6.489, 6.489 and 4.404 Å and the angles 90.00°, 90.00° and 90.00°. Symmetry generates all atoms from Rb at (0.000, 0.500, 0.000), Pa at (0.000, 0.000, 0.500), O at (0.000, 0.000, 0.000) and O at (0.216, 0.216, 0.500).

---

6.
The following is a PBE calculation of an optimized crystal structure of Rb3Pa2O6, from Alexandria.

The value obtained for the density is 5.841 g/cm3. Its electronic total energy is -7.406 eV per atom. Its magnetic moment is 1.0 μB/f.u.

The structure belongs to space group I4/mmm (No. 139); the cell edges are 4.393, 4.393 and 23.996 Å and the angles 90.00°, 90.00° and 90.00°. Symmetry generates all atoms from Rb at (0.000, 0.000, 0.000), Rb at (0.000, 0.000, 0.195), Pa at (0.000, 0.000, 0.400), O at (0.000, 0.000, 0.316) and O at (0.000, 0.500, 0.090).

---

7.
The following is a PBE calculation of an optimized crystal structure of RbPa3O8, from Alexandria.

The value obtained for the density is 5.586 g/cm3. Its electronic total energy is -8.898 eV per atom. Its magnetic moment is 0.0 μB/f.u.

The structure belongs to space group P-3 (No. 147); the cell edges are 6.2309, 6.2309 and 8.0153 Å and the angles 90.00°, 90.00° and 120.00°. Symmetry generates all atoms from Rb at (0.0000, 0.0000, 0.0000), Pa at (0.0000, 0.0000, 0.5000), Pa at (0.3333, 0.6667, 0.5788), O at (0.0407, 0.3414, 0.3936) and O at (0.3333, 0.6667, 0.8154).

---

8.
The following is a PBE calculation of an optimized crystal structure of Rb3Pa5O12, from Alexandria.

The value obtained for the density is 6.746 g/cm3. Its electronic total energy is -8.464 eV per atom. Its magnetic moment is 0.8 μB/f.u.

The structure belongs to space group Ia-3d (No. 230); the cell edges are 14.671, 14.671 and 14.671 Å and the angles 90.00°, 90.00° and 90.00°. Symmetry generates all atoms from Rb at (0.000, 0.250, 0.125), Pa at (0.000, 0.000, 0.000), Pa at (0.000, 0.250, 0.375) and O at (0.034, 0.038, 0.643).

---

9.
The following is a PBE calculation of an optimized crystal structure of RbPa2O5, from Alexandria.

The value obtained for the density is 8.077 g/cm3. Its electronic total energy is -8.787 eV per atom. Its magnetic moment is 1.1 μB/f.u.

The structure belongs to space group Immm (No. 71); the cell edges are 3.676, 5.834 and 12.031 Å and the angles 90.00°, 90.00° and 90.00°. Symmetry generates all atoms from Rb at (0.000, 0.000, 0.000), Pa at (0.000, 0.500, 0.182), O at (0.000, 0.238, 0.330) and O at (0.000, 0.500, 0.000).

---

10.
The following is a PBE calculation of an optimized crystal structure of Rb2Pa2O7, from Alexandria.

The value obtained for the density is 6.230 g/cm3. Its electronic total energy is -7.650 eV per atom. Its magnetic moment is 2.1 μB/f.u.

The structure belongs to space group Cmmm (No. 65); the cell edges are 7.237, 8.176 and 6.712 Å and the angles 90.00°, 90.00° and 90.00°. Symmetry generates all atoms from Rb at (0.242, 0.000, 0.000), Pa at (0.000, 0.272, 0.500), O at (0.000, 0.000, 0.500), O at (0.000, 0.500, 0.310) and O at (0.250, 0.250, 0.305).

---

11.
The following is a PBE calculation of an optimized crystal structure of RbPa3O7, from Alexandria.

The value obtained for the density is 7.327 g/cm3. Its electronic total energy is -8.854 eV per atom. Its magnetic moment is 2.0 μB/f.u.

The structure belongs to space group Cmmm (No. 65); the cell edges are 7.117, 13.479 and 4.208 Å and the angles 90.00°, 90.00° and 90.00°. Symmetry generates all atoms from Rb at (0.000, 0.000, 0.000), Pa at (0.000, 0.235, 0.000), Pa at (0.000, 0.500, 0.000), O at (0.000, 0.196, 0.500), O at (0.000, 0.500, 0.500) and O at (0.200, 0.362, 0.000).

---

12.
The following is a PBE calculation of an optimized crystal structure of RbPaO4, from Alexandria.

The value obtained for the density is 6.342 g/cm3. Its electronic total energy is -7.256 eV per atom. Its magnetic moment is 1.9 μB/f.u.

The structure belongs to space group P4/mmm (No. 123); the cell edges are 3.778, 3.778 and 6.979 Å and the angles 90.00°, 90.00° and 90.00°. Symmetry generates all atoms from Rb at (0.000, 0.000, 0.000), Pa at (0.500, 0.500, 0.500) and O at (0.000, 0.500, 0.316).

---

> Look up the density of the fourth one.

5.863 g/cm3